Record 1
VASP calculation (PBE) on crystalline Nd5ErS6 at its relaxed geometry.

```
Nd5ErS6
1.0
6.904 0.177 1.054
1.706 5.856 3.415
0.119 0.056 6.999
S Nd Er
6 5 1
direct
0.242 0.598 0.321 S
0.758 0.081 0.321 S
0.242 0.919 0.679 S
0.754 0.760 0.000 S
0.758 0.402 0.679 S
0.246 0.240 0.000 S
0.500 0.172 0.656 Nd
0.000 0.332 0.335 Nd
0.000 0.668 0.665 Nd
0.500 0.828 0.344 Nd
0.500 0.500 0.000 Nd
0.000 0.000 0.000 Er
```

Its calculated density is 6.4 g cm⁻³. Its density of states at the Fermi level is 0.3745 states/eV/atom. The energy relative to the elements, uncorrected is -2014.8 meV per atom.

=====

Record 2
VASP calculation (PBE) on crystalline Zr2TiCrS6 at its relaxed geometry.

```
Zr2TiCrS6
1.0
6.212 0.000 -0.001
3.106 5.380 0.000
3.105 1.794 5.864
S Ti Zr Cr
6 1 2 1
direct
0.726 0.082 0.757 S
0.581 0.230 0.254 S
0.083 0.434 0.757 S
0.434 0.726 0.757 S
0.230 0.935 0.255 S
0.934 0.581 0.254 S
0.831 0.831 0.507 Ti
0.506 0.506 0.481 Zr
0.007 0.007 0.980 Zr
0.329 0.329 0.012 Cr
```

Its calculated density is 4.0 g cm⁻³. Its density of states at the Fermi level is 0.6386 states/eV/atom. The energy relative to the elements, uncorrected is -1247.4 meV per atom.

=====

Record 3
VASP calculation (PBE) on crystalline Pm3Sc2Ge3 at its relaxed geometry.

```
Pm3Sc2Ge3
1.0
3.994 0.000 0.000
0.000 4.528 0.000
-1.997 -2.264 10.957
Sc Pm Ge
2 3 3
direct
0.757 0.257 0.513 Sc
0.243 0.743 0.487 Sc
0.621 0.621 0.242 Pm
0.379 0.379 0.758 Pm
0.500 0.000 0.000 Pm
0.000 0.500 0.000 Ge
0.161 0.161 0.323 Ge
0.839 0.839 0.677 Ge
```

The formation energy from the elements is -58.15 kJ per mole of atoms. Its calculated density is 6.2 g cm⁻³. Its density of states at the Fermi level is 1.1126 states/eV/atom.